First-principles (GGA-PBE) data for a relaxed structure of SrCaCdPt, as listed in Alexandria via LeMat-Bulk.

The structure in CIF format:
```
data_SrCaCdPt
_cell_length_a 7.491
_cell_length_b 7.491
_cell_length_c 7.491
_cell_angle_alpha 90.00
_cell_angle_beta 90.00
_cell_angle_gamma 90.00
_symmetry_space_group_name_H-M 'P 1'
_symmetry_Int_Tables_number 1
_symmetry_space_group_name_Hall 'P 1'
loop_
_atom_site_label
_atom_site_type_symbol
_atom_site_fract_x
_atom_site_fract_y
_atom_site_fract_z
_atom_site_occupancy
Sr1 Sr 0.000 0.000 0.000 1
Sr2 Sr 0.000 0.500 0.500 1
Sr3 Sr 0.500 0.000 0.500 1
Sr4 Sr 0.500 0.500 0.000 1
Ca1 Ca 0.000 0.000 0.500 1
Ca2 Ca 0.000 0.500 0.000 1
Ca3 Ca 0.500 0.000 0.000 1
Ca4 Ca 0.500 0.500 0.500 1
Cd1 Cd 0.250 0.250 0.750 1
Cd2 Cd 0.250 0.750 0.250 1
Cd3 Cd 0.750 0.250 0.250 1
Cd4 Cd 0.750 0.750 0.750 1
Pt1 Pt 0.250 0.250 0.250 1
Pt2 Pt 0.250 0.750 0.750 1
Pt3 Pt 0.750 0.250 0.750 1
Pt4 Pt 0.750 0.750 0.250 1
```

Properties
Volume (Å³ per atom): 26.27
DFT formation energy (eV per atom): -0.5162
Crystal system: cubic
Total DFT energy (no corrections) (eV per cell): -50.82